[1]
Below is a relaxed structure of KSm2AgTe4, with properties calculated at the PBE level.

Final energy, eV per atom: -4.415

a b c (Å): 4.5128 7.9123 15.9506
angles (deg): 90.00 90.00 106.57
Element x y z (fractional)
Te1 0.4513 0.9026 0.7500
K1 0.8755 0.7510 0.2500
Sm1 0.6319 0.2638 0.0694
Ag1 0.8426 0.6853 0.7500
Te2 0.5487 0.0974 0.2500
Te3 0.7308 0.4616 0.8918
Te4 0.0000 0.0000 0.5000
Te5 0.2692 0.5384 0.1082
Sm2 0.3681 0.7362 0.9306
Sm3 0.3681 0.7362 0.5694
Te6 0.0000 0.0000 0.0000
Te7 0.2692 0.5384 0.3918
K2 0.1245 0.2490 0.7500
Te8 0.7308 0.4616 0.6082
Ag2 0.1574 0.3147 0.2500
Sm4 0.6319 0.2638 0.4306

=====

[2]
Below is a relaxed structure of LiLa2ReN, with properties calculated at the PBE level.

Final energy, eV per atom: -6.956

a b c (Å): 5.2896 5.2896 3.9134
angles (deg): 90.00 90.00 90.00
Element x y z (fractional)
Re1 0.0000 0.0000 0.5000
Li1 0.5000 0.5000 0.5000
La1 0.0000 0.5000 0.0000
N1 0.0000 0.0000 0.0000
La2 0.5000 0.0000 0.0000

=====

[3]
Below is a relaxed structure of RbIn3Sn2, with properties calculated at the PBE level.

Final energy, eV per atom: -2.947
Energy of formation, eV per atom: -0.08
Energy above the lowest structure with this stoichiometry, meV/atom: 0

a b c (Å): 5.5161 9.5670 10.3021
angles (deg): 47.34 74.47 73.24
Element x y z (fractional)
Sn1 0.7854 0.7261 0.7031
In1 0.6567 0.1808 0.5057
In2 0.0493 0.5872 0.3143
Sn2 0.5096 0.7988 0.1820
In3 0.9507 0.4128 0.6857
Rb1 0.8730 0.0785 0.1755
Rb2 0.1270 0.9215 0.8245
In4 0.3155 0.4667 0.9024
In5 0.3433 0.8192 0.4943
Sn3 0.2146 0.2739 0.2969
Sn4 0.4904 0.2012 0.8180
In6 0.6845 0.5333 0.0976

=====

[4]
Below is a relaxed structure of CdB3As, with properties calculated at the PBE level.

Final energy, eV per atom: -2.773
Energy of formation, eV per atom: 2.35
Energy above the lowest structure with this stoichiometry, meV/atom: 584

a b c (Å): 4.3796 4.3796 4.3796
angles (deg): 90.00 90.00 90.00
Element x y z (fractional)
B1 0.0000 0.5000 0.0000
Cd1 0.0000 0.0000 0.0000
B2 0.0000 0.0000 0.5000
As1 0.5000 0.5000 0.5000
B3 0.5000 0.0000 0.0000

=====

[5]
Below is a relaxed structure of Sr2TaSb, with properties calculated at the PBE level.

Final energy, eV per atom: -4.393

a b c (Å): 11.2052 11.2052 11.2052
angles (deg): 18.02 18.02 18.02
Element x y z (fractional)
Sb1 0.7500 0.7500 0.7500
Ta1 0.2500 0.2500 0.2500
Sr1 0.5011 0.5011 0.5011
Sr2 0.9989 0.9989 0.9989

=====

[6]
Below is a relaxed structure of Pm4Rh6O19, with properties calculated at the PBE level.

Final energy, eV per atom: -7.043

a b c (Å): 7.6906 7.6906 7.6906
angles (deg): 109.47 109.47 109.47
Site moments in Bohr magnetons follow the coordinates.
Element x y z (fractional)
O1 0.6540 0.0000 0.6540  0.07
O2 0.2384 0.5955 0.2686  0.05
O3 0.6731 0.4045 0.6429  0.05
Pm1 0.0000 0.0000 0.6781  0.01
O4 0.7616 0.0302 0.3571  0.05
O5 0.5955 0.2686 0.2384  0.05
O6 0.3460 0.0000 0.3460  0.07
O7 0.3460 0.3460 0.0000  0.07
O8 0.6540 0.6540 0.0000  0.07
O9 0.2686 0.2384 0.5955  0.05
Rh1 0.5000 0.1643 0.6643  0.35
O10 0.0000 0.3460 0.3460  0.07
Rh2 0.6643 0.5000 0.1643  0.35
O11 0.9698 0.7314 0.3269  0.05
Rh3 0.8357 0.3357 0.5000  0.35
O12 0.6429 0.6731 0.4045  0.05
O13 0.0000 0.0000 0.0000  0.00
Rh4 0.1643 0.6643 0.5000  0.35
O14 0.3269 0.9698 0.7314  0.05
O15 0.7314 0.3269 0.9698  0.05
O16 0.0000 0.6540 0.6540  0.07
O17 0.3571 0.7616 0.0302  0.05
O18 0.0302 0.3571 0.7616  0.05
Pm2 0.0000 0.6781 0.0000  0.01
Rh5 0.3357 0.5000 0.8357  0.35
Pm3 0.3219 0.3219 0.3219  0.01
Rh6 0.5000 0.8357 0.3357  0.35
Pm4 0.6781 0.0000 0.0000  0.01
O19 0.4045 0.6429 0.6731  0.05

=====

[7]
Below is a relaxed structure of CaEr2Cd4, with properties calculated at the PBE level.

Final energy, eV per atom: -2.239
Energy of formation, eV per atom: -0.13

a b c (Å): 5.1092 5.1092 8.4952
angles (deg): 107.50 107.50 90.00
Site moments in Bohr magnetons follow the coordinates.
Element x y z (fractional)
Er1 0.7487 0.7487 0.4975  0.10
Cd1 0.3750 0.8750 0.7501  0.00
Cd2 0.1250 0.6250 0.2499  0.00
Cd3 0.8750 0.3750 0.7501  0.00
Cd4 0.6250 0.1250 0.2499  0.00
Er2 0.2513 0.2513 0.5025  0.10
Ca1 0.0000 0.0000 0.0000  0.00